# NaMo2O6

A relaxed structure of NaMo2O6 (PBE with a Hubbard U, the Alexandria database).

It has space group C2/m (No. 12), with a = 9.832 Å, b = 3.850 Å, c = 7.335 Å, α = 90.00°, β = 112.88° and γ = 90.00°. Symmetry generates all atoms from Na at (0.000, 0.000, 0.000), Mo at (0.181, 0.000, 0.633), O at (0.014, 0.000, 0.682), O at (0.171, 0.500, 0.136) and O at (0.197, 0.500, 0.561).

The calculation puts the electronic total energy at -6.67 eV/atom. As for the crystal system: monoclinic. The calculation puts the size of the total moment at 1.00 μB per formula unit.